Entry 1:
This record from Alexandria describes a relaxed structure of BaNaCd2Ag. The functional is PBE-GGA.

Calculated values
- raw total energy (eV per formula unit) = -8.3
- ΔE to the lowest computed polymorph (eV per atom) = 0.122
- V (A^3/atom) = 32.20
- ΔE_f (eV per atom) = -0.08

Lattice parameters (Å, degrees): 5.4383 5.4383 5.4434 90.00 90.00 90.00
Space group P4/mmm (No. 123)
Asymmetric unit:
Ba 0.0000 0.0000 0.0000 x1
Na 0.5000 0.5000 0.0000 x1
Cd 0.0000 0.5000 0.5000 x2
Ag 0.5000 0.5000 0.5000 x1


Entry 2:
This record from Alexandria describes a relaxed structure of SbMo2P2. The functional is PBE-GGA.

Calculated values
- raw total energy (eV per formula unit) = -37.7
- ΔE to the lowest computed polymorph (eV per atom) = 0.000
- V (A^3/atom) = 18.77
- uncorrected formation energy (eV per atom) = -0.223

Lattice parameters (Å, degrees): 6.7265 3.3161 8.8073 90.00 107.18 90.00
Space group P2_1/m (No. 11)
Asymmetric unit:
Sb 0.0132 0.2500 0.1627 x2
Mo 0.1232 0.2500 0.6295 x2
Mo 0.3368 0.2500 0.0179 x2
P 0.2622 0.7500 0.4934 x2
P 0.4907 0.2500 0.7970 x2


Question: The highest ΔE to the lowest computed polymorph belongs to which entry?
Answer: BaNaCd2Ag